Density functional theory data (PBEsol) for a relaxed structure of MnCd2Re.

Space-group type ... Fm-3m (225)
E ... -5.558 eV/atom
Magnetic moment ... 0.841 μB per atom

Cell lengths 4.5398, 4.5398, 4.5398 Å; angles 60.00, 60.00, 60.00 degrees
Sites, in units of the cell vectors:
Cd (0.2500, 0.2500, 0.2500)
Cd (0.7500, 0.7500, 0.7500)
Mn (0.0000, 0.0000, 0.0000)
Re (0.5000, 0.5000, 0.5000)

Density functional theory data (PBEsol) for a relaxed structure of ZnSi2SnO6.

Space-group type ... Pbca (61)
E ... -7.049 eV/atom
ΔE_f (raw) ... -2165.7 meV/atom
Magnetic moment ... 0.000 μB per atom

Cell lengths 5.3698, 9.1028, 19.3313 Å; angles 90.00, 90.00, 90.00 degrees
Sites, in units of the cell vectors:
Zn (0.3740, 0.3532, 0.1264)
O (0.2919, 0.6634, 0.9301)
O (0.2541, 0.5026, 0.0524)
O (0.9329, 0.2315, 0.9591)
Zn (0.3740, 0.8532, 0.3736)
Sn (0.3762, 0.4655, 0.3785)
O (0.5268, 0.1602, 0.1795)
O (0.5671, 0.7315, 0.0409)
Si (0.5038, 0.1592, 0.2649)
O (0.2459, 0.5026, 0.5524)
Zn (0.6260, 0.1468, 0.6264)
Zn (0.8740, 0.1468, 0.1264)
O (0.7412, 0.7634, 0.2102)
O (0.7541, 0.4974, 0.4476)
Sn (0.1238, 0.9655, 0.6215)
O (0.4329, 0.7685, 0.5409)
Sn (0.6238, 0.5345, 0.6215)
O (0.4732, 0.8398, 0.8205)
Sn (0.8762, 0.0345, 0.3785)
O (0.7588, 0.2634, 0.7898)
Si (0.2002, 0.1597, 0.9844)
O (0.7459, 0.9974, 0.5524)
O (0.5268, 0.6602, 0.3205)
Zn (0.8740, 0.6468, 0.3736)
O (0.0287, 0.4983, 0.3034)
O (0.2588, 0.7366, 0.7102)
Si (0.5038, 0.6592, 0.2351)
Si (0.9962, 0.6592, 0.7351)
O (0.0287, 0.9983, 0.1966)
O (0.4713, 0.4983, 0.8034)
O (0.7081, 0.3366, 0.0699)
Si (0.2002, 0.6597, 0.5156)
O (0.2081, 0.1634, 0.0699)
O (0.9713, 0.0017, 0.8034)
O (0.9329, 0.7315, 0.5409)
O (0.2412, 0.2366, 0.2898)
O (0.7081, 0.8366, 0.4301)
Si (0.2998, 0.6597, 0.0156)
Si (0.7002, 0.8403, 0.5156)
Si (0.4962, 0.8408, 0.7351)
O (0.7919, 0.8366, 0.9301)
O (0.0671, 0.2685, 0.4591)
O (0.2081, 0.6634, 0.4301)
O (0.2919, 0.1634, 0.5699)
O (0.7459, 0.4974, 0.9476)
Si (0.7998, 0.8403, 0.0156)
O (0.5287, 0.5017, 0.1966)
Si (0.0038, 0.8408, 0.2351)
Zn (0.6260, 0.6468, 0.8736)
O (0.7588, 0.7634, 0.7102)
O (0.2459, 0.0026, 0.9476)
Si (0.7002, 0.3403, 0.9844)
O (0.9732, 0.1602, 0.6795)
O (0.5287, 0.0017, 0.3034)
O (0.9732, 0.6602, 0.8205)
Si (0.4962, 0.3408, 0.7649)
O (0.0268, 0.3398, 0.1795)
O (0.0268, 0.8398, 0.3205)
Sn (0.3762, 0.9655, 0.1215)
Si (0.9962, 0.1592, 0.7649)
O (0.4329, 0.2685, 0.9591)
Si (0.7998, 0.3403, 0.4844)
Sn (0.8762, 0.5345, 0.1215)
Zn (0.1260, 0.3532, 0.6264)
O (0.4713, 0.9983, 0.6966)
Zn (0.1260, 0.8532, 0.8736)
Si (0.2998, 0.1597, 0.4844)
Sn (0.1238, 0.4655, 0.8785)
Sn (0.6238, 0.0345, 0.8785)
O (0.2412, 0.7366, 0.2102)
O (0.7541, 0.9974, 0.0524)
O (0.9713, 0.5017, 0.6966)
O (0.2541, 0.0026, 0.4476)
O (0.4732, 0.3398, 0.6795)
Si (0.0038, 0.3408, 0.2649)
O (0.7919, 0.3366, 0.5699)
O (0.7412, 0.2634, 0.2898)
O (0.0671, 0.7685, 0.0409)
O (0.2588, 0.2366, 0.7898)
O (0.5671, 0.2315, 0.4591)

Density functional theory data (PBEsol) for a relaxed structure of MnTlCd2.

Space-group type ... P4/mmm (123)
E ... -3.391 eV/atom
Magnetic moment ... 0.888 μB per atom

Cell lengths 4.2213, 4.2213, 4.3940 Å; angles 90.00, 90.00, 90.00 degrees
Sites, in units of the cell vectors:
Mn (0.5000, 0.5000, 0.5000)
Tl (0.0000, 0.0000, 0.5000)
Cd (0.0000, 0.5000, 0.0000)
Cd (0.5000, 0.0000, 0.0000)

Density functional theory data (PBEsol) for a relaxed structure of SrMnZn.

Space-group type ... P-6m2 (187)
E ... -4.053 eV/atom
Magnetic moment ... 1.131 μB per atom

Cell lengths 4.4355, 4.3545, 4.3545 Å; angles 120.00, 90.00, 90.00 degrees
Sites, in units of the cell vectors:
Zn (0.5000, 0.6667, 0.3333)
Mn (0.5000, 0.0000, 0.0000)
Sr (0.0000, 0.3333, 0.6667)

Density functional theory data (PBEsol) for a relaxed structure of MgTeAuN2.

Space-group type ... P4/mmm (123)
E ... -3.997 eV/atom
ΔE_f (raw) ... 1247.6 meV/atom
Magnetic moment ... 0.571 μB per atom

Cell lengths 4.0660, 4.0660, 5.8153 Å; angles 90.00, 90.00, 90.00 degrees
Sites, in units of the cell vectors:
Te (0.0000, 0.0000, 0.5000)
Mg (0.5000, 0.5000, 0.5000)
Au (0.0000, 0.0000, 0.0000)
N (0.5000, 0.0000, 0.0000)
N (0.0000, 0.5000, 0.0000)

Density functional theory data (PBEsol) for a relaxed structure of ScTa2Hg.

Space-group type ... P4/mmm (123)
E ... -7.978 eV/atom
Magnetic moment ... 0.000 μB per atom

Cell lengths 4.0148, 4.0148, 4.6143 Å; angles 90.00, 90.00, 90.00 degrees
Sites, in units of the cell vectors:
Sc (0.0000, 0.0000, 0.5000)
Hg (0.5000, 0.5000, 0.5000)
Ta (0.5000, 0.0000, 0.0000)
Ta (0.0000, 0.5000, 0.0000)

Density functional theory data (PBEsol) for a relaxed structure of Li2ScFe.

Space-group type ... P4/mmm (123)
E ... -4.439 eV/atom
Magnetic moment ... 0.413 μB per atom

Cell lengths 3.3902, 3.3902, 5.3546 Å; angles 90.00, 90.00, 90.00 degrees
Sites, in units of the cell vectors:
Li (0.0000, 0.0000, 0.7090)
Sc (0.5000, 0.5000, 0.0000)
Fe (0.5000, 0.5000, 0.5000)
Li (0.0000, 0.0000, 0.2910)

Density functional theory data (PBEsol) for a relaxed structure of Cd2HgAu.

Space-group type ... I-4m2 (119)
E ... -1.771 eV/atom
Magnetic moment ... 0.000 μB per atom

Cell lengths 4.2386, 4.2386, 5.2615 Å; angles 113.75, 113.75, 90.00 degrees
Sites, in units of the cell vectors:
Hg (0.5000, 0.5000, 0.0000)
Cd (0.0000, 0.0000, 0.0000)
Cd (0.7500, 0.2500, 0.5000)
Au (0.2500, 0.7500, 0.5000)

Density functional theory data (PBEsol) for a relaxed structure of LaTeH2I.

Space-group type ... P4/mmm (123)
E ... -3.447 eV/atom
Magnetic moment ... 0.000 μB per atom

Cell lengths 4.3190, 4.3190, 8.0676 Å; angles 90.00, 90.00, 90.00 degrees
Sites, in units of the cell vectors:
H (0.5000, 0.0000, 0.0000)
I (0.0000, 0.0000, 0.0000)
H (0.0000, 0.5000, 0.0000)
Te (0.0000, 0.0000, 0.5000)
La (0.5000, 0.5000, 0.5000)

Density functional theory data (PBEsol) for a relaxed structure of BaLa2Te5O14.

Space-group type ... C2/c (15)
E ... -6.610 eV/atom
ΔE_f (raw) ... -1884.5 meV/atom
Magnetic moment ... 0.000 μB per atom

Cell lengths 5.9892, 9.9022, 13.1748 Å; angles 107.52, 90.00, 107.60 degrees
Sites, in units of the cell vectors:
O (0.3157, 0.5739, 0.6714)
O (0.3508, 0.8796, 0.7937)
O (0.6492, 0.1204, 0.2063)
O (0.5654, 0.6728, 0.5167)
Te (0.8820, 0.2785, 0.8338)
O (0.1289, 0.8322, 0.5939)
Ba (0.5000, 0.5000, 0.0000)
O (0.7034, 0.8322, 0.0939)
La (0.5479, 0.6485, 0.3313)
O (0.2150, 0.4029, 0.3197)
Te (0.2066, 0.0000, 0.7500)
O (0.5288, 0.8796, 0.2937)
La (0.8993, 0.3515, 0.1687)
O (0.4767, 0.2977, 0.1148)
O (0.8209, 0.2977, 0.6148)
La (0.4521, 0.3515, 0.6687)
Ba (0.0000, 0.5000, 0.5000)
Te (0.1975, 0.8979, 0.4706)
O (0.6843, 0.4261, 0.3286)
Te (0.2996, 0.1021, 0.0294)
O (0.2966, 0.1678, 0.9061)
O (0.2581, 0.5739, 0.1714)
O (0.4346, 0.3272, 0.4833)
O (0.1074, 0.6728, 0.0167)
O (0.9821, 0.8796, 0.9108)
O (0.1025, 0.1204, 0.5892)
O (0.7850, 0.5971, 0.6803)
O (0.4712, 0.1204, 0.7063)
Te (0.6034, 0.7215, 0.6662)
O (0.1791, 0.7023, 0.3852)
O (0.8121, 0.5971, 0.1803)
Te (0.7934, 0.0000, 0.2500)
O (0.8975, 0.8796, 0.4108)
Te (0.3966, 0.2785, 0.3338)
O (0.8711, 0.1678, 0.4061)
O (0.7419, 0.4261, 0.8286)
O (0.0179, 0.1204, 0.0892)
Te (0.8025, 0.1021, 0.5294)
La (0.1007, 0.6485, 0.8313)
O (0.5233, 0.7023, 0.8852)
O (0.1879, 0.4029, 0.8197)
Te (0.1180, 0.7215, 0.1662)
Te (0.7004, 0.8979, 0.9706)
O (0.8926, 0.3272, 0.9833)

Density functional theory data (PBEsol) for a relaxed structure of CdH2I.

Space-group type ... Fd-3m (227)
E ... -2.028 eV/atom
Magnetic moment ... 0.054 μB per atom

Cell lengths 5.9070, 5.9070, 5.9070 Å; angles 60.00, 60.00, 60.00 degrees
Sites, in units of the cell vectors:
I (0.5000, 0.5000, 0.5000)
Cd (0.2500, 0.2500, 0.2500)
H (0.1250, 0.1250, 0.1250)
H (0.1250, 0.6250, 0.1250)
I (0.7500, 0.7500, 0.7500)
Cd (0.0000, 0.0000, 0.0000)
H (0.1250, 0.1250, 0.6250)
H (0.6250, 0.1250, 0.1250)

Density functional theory data (PBEsol) for a relaxed structure of Zr2CoTeP.

Space-group type ... P4/mmm (123)
E ... -7.530 eV/atom
ΔE_f (raw) ... -483.1 meV/atom
Magnetic moment ... 0.000 μB per atom

Cell lengths 3.9407, 4.9684, 4.9684 Å; angles 90.00, 90.00, 90.00 degrees
Sites, in units of the cell vectors:
Co (0.0000, 0.0000, 0.0000)
Te (0.5000, 0.5000, 0.5000)
Zr (0.0000, 0.5000, 0.0000)
P (0.5000, 0.0000, 0.0000)
Zr (0.0000, 0.0000, 0.5000)